# Li4Pa3SbN8 | Alexandria via LeMat-Bulk | PBE-GGA | relaxed
# - Mass density: 7.4 g/cm³
# - Total moment: 0.0 μB per cell
# - Energy relative to the elements, uncorrected: -0.86 eV/atom
data_Li4Pa3SbN8
_chemical_formula_sum 'Li12 Pa9 Sb3 N24'
_cell_length_a 6.9339
_cell_length_b 6.9339
_cell_length_c 15.3781
_cell_angle_alpha 90.00
_cell_angle_beta 90.00
_cell_angle_gamma 120.00
_symmetry_space_group_name_H-M 'R -3 m'
_symmetry_Int_Tables_number 166
_symmetry_space_group_name_Hall '-R 3 2"'
loop_
_atom_site_label
_atom_site_type_symbol
_atom_site_fract_x
_atom_site_fract_y
_atom_site_fract_z
Li1 Li 0.0000 0.0000 0.0000
Li2 Li 0.0000 0.5000 0.0000
Pa1 Pa 0.0000 0.5000 0.5000
Sb1 Sb 0.0000 0.0000 0.5000
N1 N 0.0000 0.0000 0.2332
N2 N 0.0084 0.5042 0.2400

# RuPt2W | Alexandria via LeMat-Bulk | PBE-GGA | relaxed
# - Energy relative to the elements: 0.003 eV per atom
# - Energy relative to the lowest polymorph listed for this composition: 0.194 eV per atom
# - Mass density: 18.4 g/cm³
# - Total moment: 0.0 μB per cell
data_RuPt2W
_chemical_formula_sum 'Ru3 Pt6 W3'
_cell_length_a 2.7717
_cell_length_b 2.7717
_cell_length_c 27.5053
_cell_angle_alpha 90.00
_cell_angle_beta 90.00
_cell_angle_gamma 120.00
_symmetry_space_group_name_H-M 'R -3 m'
_symmetry_Int_Tables_number 166
_symmetry_space_group_name_Hall '-R 3 2"'
loop_
_atom_site_label
_atom_site_type_symbol
_atom_site_fract_x
_atom_site_fract_y
_atom_site_fract_z
Ru1 Ru 0.0000 0.0000 0.0000
Pt1 Pt 0.0000 0.0000 0.2497
W1 W 0.0000 0.0000 0.5000

# Mg6Sn3H | Alexandria via LeMat-Bulk | PBE-GGA | relaxed
# - Mass density: 3.9 g/cm³
# - Total moment: 0.0 μB per cell
# - Raw total energy: -2.574 eV/atom
data_Mg6Sn3H
_chemical_formula_sum 'Mg24 Sn12 H4'
_cell_length_a 10.8351
_cell_length_b 15.7142
_cell_length_c 4.9964
_cell_angle_alpha 90.00
_cell_angle_beta 90.00
_cell_angle_gamma 90.00
_symmetry_space_group_name_H-M 'C m c 21'
_symmetry_Int_Tables_number 36
_symmetry_space_group_name_Hall 'C 2c -2'
loop_
_atom_site_label
_atom_site_type_symbol
_atom_site_fract_x
_atom_site_fract_y
_atom_site_fract_z
Mg1 Mg 0.0000 0.0598 0.0000
Mg2 Mg 0.0000 0.2649 0.5219
Mg3 Mg 0.1602 0.4380 0.5078
Mg4 Mg 0.1690 0.2256 0.0135
Sn1 Sn 0.0000 0.3870 0.0149
Sn2 Sn 0.1761 0.1063 0.4997
H1 H 0.0000 0.1814 0.9597

# SrMg7Tl12 | Alexandria via LeMat-Bulk | PBE-GGA | relaxed
# - Energy relative to the elements: 0.131 eV per atom
# - Mass density: 7.0 g/cm³
# - Total moment: 0.0 μB per cell
data_SrMg7Tl12
_chemical_formula_sum 'Sr2 Mg14 Tl24'
_cell_length_a 10.8677
_cell_length_b 10.8677
_cell_length_c 10.8677
_cell_angle_alpha 90.00
_cell_angle_beta 90.00
_cell_angle_gamma 90.00
_symmetry_space_group_name_H-M 'I m -3'
_symmetry_Int_Tables_number 204
_symmetry_space_group_name_Hall '-I 2 2 3'
loop_
_atom_site_label
_atom_site_type_symbol
_atom_site_fract_x
_atom_site_fract_y
_atom_site_fract_z
Sr1 Sr 0.0000 0.0000 0.0000
Mg1 Mg 0.0000 0.0000 0.5000
Mg2 Mg 0.2500 0.2500 0.2500
Tl1 Tl 0.0000 0.3380 0.2284

# PrHo6Sc3 | Alexandria via LeMat-Bulk | PBE-GGA | relaxed
# - Energy relative to the elements: 0.163 eV per atom
# - Energy relative to the lowest polymorph listed for this composition: 0.000 eV per atom
# - Mass density: 7.1 g/cm³
# - Total moment: 0.0 μB per cell
data_PrHo6Sc3
_chemical_formula_sum 'Pr4 Ho24 Sc12'
_cell_length_a 10.2094
_cell_length_b 18.7533
_cell_length_c 6.2218
_cell_angle_alpha 90.00
_cell_angle_beta 90.00
_cell_angle_gamma 90.00
_symmetry_space_group_name_H-M 'C m c 21'
_symmetry_Int_Tables_number 36
_symmetry_space_group_name_Hall 'C 2c -2'
loop_
_atom_site_label
_atom_site_type_symbol
_atom_site_fract_x
_atom_site_fract_y
_atom_site_fract_z
Pr1 Pr 0.0000 0.2119 0.0000
Ho1 Ho 0.0000 0.0447 0.3616
Ho2 Ho 0.0000 0.3158 0.5401
Ho3 Ho 0.1705 0.4647 0.6928
Ho4 Ho 0.2282 0.2034 0.3550
Sc1 Sc 0.0000 0.3854 0.0774
Sc2 Sc 0.1952 0.1143 0.7865

# NdDy8Ni2 | Alexandria via LeMat-Bulk | PBE-GGA | relaxed
# - Energy relative to the elements: -0.074 eV per atom
# - Mass density: 8.2 g/cm³
# - Total moment: 0.0 μB per cell
data_NdDy8Ni2
_chemical_formula_sum 'Nd2 Dy16 Ni4'
_cell_length_a 21.1538
_cell_length_b 3.6472
_cell_length_c 8.6579
_cell_angle_alpha 90.00
_cell_angle_beta 108.38
_cell_angle_gamma 90.00
_symmetry_space_group_name_H-M 'C 1 2/m 1'
_symmetry_Int_Tables_number 12
_symmetry_space_group_name_Hall '-C 2y'
loop_
_atom_site_label
_atom_site_type_symbol
_atom_site_fract_x
_atom_site_fract_y
_atom_site_fract_z
Nd1 Nd 0.0000 0.0000 0.0000
Dy1 Dy 0.0445 0.5000 0.7003
Dy2 Dy 0.1061 0.0000 0.4335
Dy3 Dy 0.1757 0.0000 0.9467
Dy4 Dy 0.2309 0.5000 0.3191
Ni1 Ni 0.1742 0.5000 0.6868

# PrBrO | Alexandria via LeMat-Bulk | PBE-GGA | relaxed
# - Mass density: 6.0 g/cm³
# - Total moment: 0.0 μB per cell
# - Energy relative to the elements, uncorrected: -2.27 eV/atom
data_PrBrO
_chemical_formula_sum 'Pr2 Br2 O2'
_cell_length_a 3.4552
_cell_length_b 3.4552
_cell_length_c 11.0212
_cell_angle_alpha 90.00
_cell_angle_beta 90.00
_cell_angle_gamma 90.00
_symmetry_space_group_name_H-M 'I 4 m m'
_symmetry_Int_Tables_number 107
_symmetry_space_group_name_Hall 'I 4 -2'
loop_
_atom_site_label
_atom_site_type_symbol
_atom_site_fract_x
_atom_site_fract_y
_atom_site_fract_z
Pr1 Pr 0.0000 0.0000 0.0000
Br1 Br 0.0000 0.0000 0.2757
O1 O 0.0000 0.0000 0.5366

# CoSiSe2 | Alexandria via LeMat-Bulk | PBE-GGA | relaxed
# - Mass density: 4.6 g/cm³
# - Total moment: 0.3 μB per cell
# - Energy relative to the elements, uncorrected: -0.14 eV/atom
data_CoSiSe2
_chemical_formula_sum 'Co1 Si1 Se2'
_cell_length_a 4.0374
_cell_length_b 3.4410
_cell_length_c 6.3509
_cell_angle_alpha 90.00
_cell_angle_beta 94.22
_cell_angle_gamma 90.00
_symmetry_space_group_name_H-M 'P 1 m 1'
_symmetry_Int_Tables_number 6
_symmetry_space_group_name_Hall 'P -2y'
loop_
_atom_site_label
_atom_site_type_symbol
_atom_site_fract_x
_atom_site_fract_y
_atom_site_fract_z
Co1 Co 0.0000 0.0000 0.0000
Si1 Si 0.6417 0.5000 0.9826
Se1 Se 0.1675 0.5000 0.7567
Se2 Se 0.5592 0.0000 0.2426

# TeMo2W | Alexandria via LeMat-Bulk | PBE-GGA | relaxed
# - Mass density: 11.2 g/cm³
# - Total moment: 0.0 μB per cell
# - Energy relative to the elements, uncorrected: 0.99 eV/atom
data_TeMo2W
_chemical_formula_sum 'Te4 Mo8 W4'
_cell_length_a 3.9870
_cell_length_b 3.9870
_cell_length_c 18.8309
_cell_angle_alpha 90.00
_cell_angle_beta 90.00
_cell_angle_gamma 90.00
_symmetry_space_group_name_H-M 'I -4 2 d'
_symmetry_Int_Tables_number 122
_symmetry_space_group_name_Hall 'I -4 2bw'
loop_
_atom_site_label
_atom_site_type_symbol
_atom_site_fract_x
_atom_site_fract_y
_atom_site_fract_z
Te1 Te 0.0000 0.0000 0.0000
Mo1 Mo 0.2359 0.2500 0.1250
W1 W 0.0000 0.0000 0.5000